GGA-PBE KCuPO2, optimized geometry; DFT total energy = -13.58 eV per cell; polymorph energy (0 for the lowest one) = 6.26 eV/f.u.; crystal system = tetragonal; formation energy without anion corrections = 6.9 eV/f.u.
1.0
4.405 0.000 0.000
0.000 4.405 0.000
0.000 0.000 6.692
K Cu P O
1 1 1 2
direct
0.000 0.000 0.000 K
0.500 0.500 0.500 Cu
0.000 0.000 0.500 P
0.000 0.500 0.000 O
0.500 0.000 0.000 O

GGA-PBE Tb3Er6Tm2Sc, optimized geometry; DFT total energy = -56.18 eV per cell; energy relative to the elements = 3 kJ/mol of atoms; crystal system = monoclinic
1.0
3.031 -5.244 0.000
3.031 5.244 0.000
-2.016 0.000 11.406
Tb Er Tm Sc
3 6 2 1
direct
0.000 0.000 0.000 Tb
0.333 0.667 0.000 Tb
0.667 0.333 0.000 Tb
0.087 0.419 0.254 Er
0.250 0.250 0.746 Er
0.419 0.087 0.254 Er
0.581 0.913 0.746 Er
0.750 0.750 0.254 Er
0.913 0.581 0.746 Er
0.167 0.833 0.500 Tm
0.833 0.167 0.500 Tm
0.500 0.500 0.500 Sc

GGA-PBE La2Nd2Bi5, optimized geometry; DFT total energy = -91.81 eV per cell; energy relative to the elements = -76 kJ/mol of atoms; crystal system = orthorhombic
1.0
8.328 -4.266 0.000
8.328 4.266 0.000
0.000 0.000 8.663
La Nd Bi
4 4 10
direct
0.192 0.192 0.000 La
0.308 0.308 0.500 La
0.692 0.692 0.500 La
0.808 0.808 0.000 La
0.157 0.843 0.660 Nd
0.343 0.657 0.160 Nd
0.657 0.343 0.840 Nd
0.843 0.157 0.340 Nd
0.000 0.000 0.000 Bi
0.008 0.717 0.355 Bi
0.217 0.508 0.855 Bi
0.283 0.992 0.355 Bi
0.492 0.783 0.855 Bi
0.500 0.500 0.500 Bi
0.508 0.217 0.145 Bi
0.717 0.008 0.645 Bi
0.783 0.492 0.145 Bi
0.992 0.283 0.645 Bi

GGA-PBE Y2AlNi3, optimized geometry; DFT total energy = -72.99 eV per cell; energy relative to the elements = -40 kJ/mol of atoms; polymorph energy (0 for the lowest one) = 0.47 eV/f.u.; crystal system = orthorhombic
1.0
0.000 4.155 7.105
3.719 0.000 7.105
3.719 4.155 0.000
Y Al Ni
4 2 6
direct
0.243 0.757 0.757 Y
0.250 0.250 0.250 Y
0.750 0.750 0.750 Y
0.757 0.243 0.243 Y
0.334 0.334 0.666 Al
0.666 0.666 0.334 Al
0.167 0.167 0.833 Ni
0.167 0.665 0.335 Ni
0.335 0.833 0.167 Ni
0.665 0.167 0.833 Ni
0.833 0.335 0.665 Ni
0.833 0.833 0.167 Ni

GGA-PBE TiCo2Si, optimized geometry; DFT total energy = -29.45 eV per cell; crystal system = tetragonal; formation energy without anion corrections = -1.9 eV/f.u.
1.0
2.981 0.000 0.000
0.000 2.981 0.000
0.000 0.000 5.391
Ti Co Si
1 2 1
direct
0.000 0.000 0.000 Ti
0.500 0.500 0.264 Co
0.500 0.500 0.736 Co
0.000 0.000 0.500 Si

GGA-PBE BeSbAs, optimized geometry; DFT total energy = -11.96 eV per cell; polymorph energy (0 for the lowest one) = 0.29 eV/f.u.; crystal system = trigonal; formation energy without anion corrections = 0.5 eV/f.u.
1.0
3.685 0.000 0.000
-1.843 3.191 0.000
0.000 0.000 4.878
Be Sb As
1 1 1
direct
0.000 0.000 0.000 Be
0.667 0.333 0.351 Sb
0.333 0.667 0.832 As

GGA-PBE RbTeAuSe3, optimized geometry; DFT total energy = -39.73 eV per cell; crystal system = monoclinic; formation energy without anion corrections = -2.0 eV/f.u.
1.0
8.808 0.000 0.000
0.000 4.078 0.000
-2.021 0.000 10.757
Rb Te Au Se
2 2 2 6
direct
0.181 0.250 0.254 Rb
0.819 0.750 0.746 Rb
0.321 0.750 0.890 Te
0.679 0.250 0.110 Te
0.093 0.250 0.552 Au
0.907 0.750 0.448 Au
0.118 0.250 0.926 Se
0.258 0.750 0.620 Se
0.454 0.750 0.144 Se
0.546 0.250 0.856 Se
0.742 0.250 0.380 Se
0.882 0.750 0.074 Se

GGA-PBE LaPmErZn, optimized geometry; DFT total energy = -15.47 eV per cell; energy relative to the elements = 1 kJ/mol of atoms; polymorph energy (0 for the lowest one) = 0.64 eV/f.u.; crystal system = cubic
1.0
0.000 3.865 3.865
3.865 0.000 3.865
3.865 3.865 0.000
La Pm Er Zn
1 1 1 1
direct
0.000 0.000 0.000 La
0.500 0.500 0.500 Pm
0.750 0.750 0.750 Er
0.250 0.250 0.250 Zn

Results for spin magnetization: 4.3; 0.0; 0.0; 0.0; 0.0; 0.0; 0.0; 0.0 (in μB/f.u., following the order of the records).